[1]
! Ac2HoRu3O12 PBE-GGA optimized geometry; values from VASP
&SYSTEM
  ibrav = 0, nat = 18, ntyp = 4
/
ATOMIC_SPECIES
Ac 227.00 Ac.upf
Ho 164.93 Ho.upf
Ru 101.07 Ru.upf
O 16.00 O.upf
CELL_PARAMETERS angstrom
3.612 2.085 5.322
-3.612 2.085 5.322
0.000 -4.170 5.322
ATOMIC_POSITIONS angstrom
Ac 0.000 0.000 1.847
Ac 0.000 0.000 14.119
Ho 0.000 0.000 7.983
Ru -1.806 -1.043 5.322
Ru -1.806 1.043 10.644
Ru 0.000 2.085 5.322
O -2.080 -1.201 7.227
O 0.000 -1.668 5.771
O -1.444 0.834 5.771
O 0.000 -2.402 8.739
O -2.080 1.201 8.739
O -1.444 -0.834 10.195
O 1.444 0.834 5.771
O 2.080 -1.201 7.227
O 0.000 2.402 7.227
O 1.444 -0.834 10.195
O 0.000 1.668 10.195
O 2.080 1.201 8.739
! **E_form (uncorrected)**: -33.51 eV/f.u.

---

[2]
! AcHo2RuO8 PBE-GGA optimized geometry; values from VASP
&SYSTEM
  ibrav = 0, nat = 12, ntyp = 4
/
ATOMIC_SPECIES
Ac 227.00 Ac.upf
Ho 164.93 Ho.upf
Ru 101.07 Ru.upf
O 16.00 O.upf
CELL_PARAMETERS angstrom
3.562 -3.608 0.000
3.562 3.608 0.000
0.000 0.000 7.018
ATOMIC_POSITIONS angstrom
Ac 0.000 0.000 0.000
Ho 3.562 0.000 1.795
Ho 3.562 0.000 5.222
Ru 0.000 0.000 3.509
O 1.338 0.000 2.128
O 1.338 0.000 4.889
O 3.562 1.665 3.509
O 3.562 1.265 0.000
O 3.562 -1.265 0.000
O 3.562 -1.665 3.509
O 5.787 0.000 2.128
O 5.787 0.000 4.889
! **E_form (uncorrected)**: -28.45 eV/f.u.

---

[3]
! AcHoRu2O8 PBE-GGA optimized geometry; values from VASP
&SYSTEM
  ibrav = 0, nat = 12, ntyp = 4
/
ATOMIC_SPECIES
Ac 227.00 Ac.upf
Ho 164.93 Ho.upf
Ru 101.07 Ru.upf
O 16.00 O.upf
CELL_PARAMETERS angstrom
5.852 0.000 0.000
-2.926 5.068 0.000
0.000 0.000 7.289
ATOMIC_POSITIONS angstrom
Ac 0.000 0.000 0.000
Ho 0.000 0.000 3.644
Ru 0.000 3.379 5.709
Ru 2.926 1.689 1.580
O -0.007 1.596 5.212
O -1.540 4.276 5.212
O 1.379 0.804 2.077
O 0.000 3.379 0.227
O 2.926 1.689 7.062
O 1.547 4.264 5.212
O 4.467 0.792 2.077
O 2.933 3.472 2.077
! **E_form (uncorrected)**: -21.13 eV/f.u.

---

[4]
! AcHoRuO6 PBE-GGA optimized geometry; values from VASP
&SYSTEM
  ibrav = 0, nat = 9, ntyp = 4
/
ATOMIC_SPECIES
Ac 227.00 Ac.upf
Ho 164.93 Ho.upf
Ru 101.07 Ru.upf
O 16.00 O.upf
CELL_PARAMETERS angstrom
5.532 0.000 0.000
-2.766 4.791 0.000
0.000 0.000 5.281
ATOMIC_POSITIONS angstrom
Ac 0.000 0.000 0.000
Ho 2.766 1.597 2.641
Ru 0.000 3.194 2.641
O -0.844 1.832 1.525
O -1.602 3.144 3.756
O 0.844 1.832 3.756
O -0.758 4.606 1.525
O 1.602 3.144 1.525
O 0.758 4.606 3.756
! **E_form (uncorrected)**: -20.56 eV/f.u.

---

[5]
! Ac2HoS2O2 PBE-GGA optimized geometry; values from VASP
&SYSTEM
  ibrav = 0, nat = 7, ntyp = 4
/
ATOMIC_SPECIES
Ac 227.00 Ac.upf
Ho 164.93 Ho.upf
S 32.06 S.upf
O 16.00 O.upf
CELL_PARAMETERS angstrom
-2.185 2.185 7.789
2.185 -2.185 7.789
2.185 2.185 -7.789
ATOMIC_POSITIONS angstrom
Ac 0.000 0.000 2.079
Ac 0.000 0.000 13.498
Ho 0.000 0.000 7.789
S 0.000 0.000 5.070
S 0.000 0.000 10.508
O 2.185 0.000 0.000
O 0.000 2.185 0.000
! **E_form (uncorrected)**: -18.31 eV/f.u.

---

[6]
! AcHoS2O PBE-GGA optimized geometry; values from VASP
&SYSTEM
  ibrav = 0, nat = 10, ntyp = 4
/
ATOMIC_SPECIES
Ac 227.00 Ac.upf
Ho 164.93 Ho.upf
S 32.06 S.upf
O 16.00 O.upf
CELL_PARAMETERS angstrom
4.052 0.000 0.000
0.000 4.052 0.000
0.000 0.000 14.173
ATOMIC_POSITIONS angstrom
Ac 1.013 1.013 1.362
Ac 3.039 3.039 12.811
Ho 1.013 1.013 8.719
Ho 3.039 3.039 5.455
S 1.013 1.013 5.818
S 1.013 1.013 11.197
S 3.039 3.039 2.976
S 3.039 3.039 8.355
O 1.013 3.039 0.000
O 3.039 1.013 0.000
! **E_form (uncorrected)**: -12.60 eV/f.u.

---

[7]
! AcHoSO2 PBE-GGA optimized geometry; values from VASP
&SYSTEM
  ibrav = 0, nat = 5, ntyp = 4
/
ATOMIC_SPECIES
Ac 227.00 Ac.upf
Ho 164.93 Ho.upf
S 32.06 S.upf
O 16.00 O.upf
CELL_PARAMETERS angstrom
4.154 0.000 0.000
0.000 4.154 0.000
0.000 0.000 6.232
ATOMIC_POSITIONS angstrom
Ac 0.000 0.000 0.000
Ho 2.077 2.077 2.238
S 2.077 2.077 4.904
O 0.000 2.077 1.449
O 2.077 0.000 1.449
! **E_form (uncorrected)**: -15.67 eV/f.u.

---

[8]
! AcHoS2O8 PBE-GGA optimized geometry; values from VASP
&SYSTEM
  ibrav = 0, nat = 12, ntyp = 4
/
ATOMIC_SPECIES
Ac 227.00 Ac.upf
Ho 164.93 Ho.upf
S 32.06 S.upf
O 16.00 O.upf
CELL_PARAMETERS angstrom
5.591 0.000 0.000
-2.795 4.842 0.000
0.000 0.000 7.328
ATOMIC_POSITIONS angstrom
Ac 0.000 0.000 0.000
Ho 0.000 0.000 3.664
S 0.000 3.228 1.824
S 2.795 1.614 5.504
O 0.000 1.603 2.087
O -1.407 4.040 2.087
O 1.388 0.802 5.242
O 0.000 3.228 0.314
O 2.795 1.614 7.015
O 1.407 4.040 2.087
O 4.203 0.802 5.242
O 2.795 3.239 5.242
! **E_form (uncorrected)**: -23.03 eV/f.u.

---

[9]
! AcHoSbO5 PBE-GGA optimized geometry; values from VASP
&SYSTEM
  ibrav = 0, nat = 16, ntyp = 4
/
ATOMIC_SPECIES
Ac 227.00 Ac.upf
Ho 164.93 Ho.upf
Sb 121.76 Sb.upf
O 16.00 O.upf
CELL_PARAMETERS angstrom
3.914 -4.871 0.000
3.914 4.871 0.000
-3.885 0.000 7.353
ATOMIC_POSITIONS angstrom
Ac 1.000 3.071 5.515
Ac 2.942 -3.071 1.838
Ho 3.914 0.000 0.000
Ho 1.971 0.000 3.677
Sb 2.942 2.988 1.838
Sb 1.000 -2.988 5.515
O -2.068 0.532 6.644
O 1.432 2.190 3.038
O -0.125 -0.532 2.967
O 4.453 2.190 0.639
O 1.000 0.733 5.515
O 2.942 -0.733 1.838
O -0.511 -2.190 6.714
O 4.068 0.532 4.386
O 2.511 -2.190 4.316
O 6.010 -0.532 0.709
! **E_form (uncorrected)**: -20.59 eV/f.u.

---

[10]
! Ac2HoSbO6 PBE-GGA optimized geometry; values from VASP
&SYSTEM
  ibrav = 0, nat = 20, ntyp = 4
/
ATOMIC_SPECIES
Ac 227.00 Ac.upf
Ho 164.93 Ho.upf
Sb 121.76 Sb.upf
O 16.00 O.upf
CELL_PARAMETERS angstrom
6.657 0.000 0.000
0.000 8.430 0.000
0.000 0.000 5.984
ATOMIC_POSITIONS angstrom
Ac 1.664 0.026 1.406
Ac 1.664 4.189 1.406
Ac 4.993 4.240 4.578
Ac 4.993 8.404 4.578
Ho 1.664 6.322 4.335
Ho 4.993 2.107 1.649
Sb 1.664 2.107 4.675
Sb 4.993 6.322 1.309
O 0.338 2.107 0.465
O 0.363 6.322 2.526
O 1.664 4.267 5.009
O 1.664 8.378 5.009
O 2.966 6.322 2.526
O 2.990 2.107 0.465
O 3.667 6.322 5.519
O 3.691 2.107 3.458
O 4.993 0.052 0.975
O 4.993 4.163 0.975
O 6.294 2.107 3.458
O 6.318 6.322 5.519
! **E_form (uncorrected)**: -26.23 eV/f.u.

---

[11]
! AcHoSbO2 PBE-GGA optimized geometry; values from VASP
&SYSTEM
  ibrav = 0, nat = 5, ntyp = 4
/
ATOMIC_SPECIES
Ac 227.00 Ac.upf
Ho 164.93 Ho.upf
Sb 121.76 Sb.upf
O 16.00 O.upf
CELL_PARAMETERS angstrom
-2.001 2.001 6.995
2.001 -2.001 6.995
2.001 2.001 -6.995
ATOMIC_POSITIONS angstrom
Ac 0.000 0.000 0.000
Ho 0.000 0.000 4.571
Sb 0.000 0.000 9.370
O 2.001 0.000 5.603
O 0.000 2.001 5.603
! **E_form (uncorrected)**: -13.18 eV/f.u.

---

[12]
! AcHoSbO6 PBE-GGA optimized geometry; values from VASP
&SYSTEM
  ibrav = 0, nat = 9, ntyp = 4
/
ATOMIC_SPECIES
Ac 227.00 Ac.upf
Ho 164.93 Ho.upf
Sb 121.76 Sb.upf
O 16.00 O.upf
CELL_PARAMETERS angstrom
5.676 0.000 0.000
-2.838 4.916 0.000
0.000 0.000 5.240
ATOMIC_POSITIONS angstrom
Ac 0.000 0.000 0.000
Ho 0.000 3.277 2.620
Sb 2.838 1.639 2.620
O 2.051 0.159 3.743
O 1.163 1.697 1.498
O 3.625 0.159 1.498
O 1.950 3.060 3.743
O 4.513 1.697 3.743
O 3.726 3.060 1.498
! **E_form (uncorrected)**: -21.98 eV/f.u.

---

[13]
! AcHoSe2O PBE-GGA optimized geometry; values from VASP
&SYSTEM
  ibrav = 0, nat = 10, ntyp = 4
/
ATOMIC_SPECIES
Ac 227.00 Ac.upf
Ho 164.93 Ho.upf
Se 78.96 Se.upf
O 16.00 O.upf
CELL_PARAMETERS angstrom
4.160 0.000 0.000
0.000 4.160 0.000
0.000 0.000 14.737
ATOMIC_POSITIONS angstrom
Ac 1.040 1.040 1.320
Ac 3.120 3.120 13.417
Ho 1.040 1.040 9.088
Ho 3.120 3.120 5.649
Se 1.040 1.040 6.049
Se 1.040 1.040 11.699
Se 3.120 3.120 3.038
Se 3.120 3.120 8.688
O 1.040 3.120 0.000
O 3.120 1.040 0.000
! **E_form (uncorrected)**: -12.14 eV/f.u.

---

[14]
! AcHoSeO2 PBE-GGA optimized geometry; values from VASP
&SYSTEM
  ibrav = 0, nat = 10, ntyp = 4
/
ATOMIC_SPECIES
Ac 227.00 Ac.upf
Ho 164.93 Ho.upf
Se 78.96 Se.upf
O 16.00 O.upf
CELL_PARAMETERS angstrom
6.875 0.000 0.000
0.000 4.201 0.000
-2.674 0.000 7.493
ATOMIC_POSITIONS angstrom
Ac 0.210 1.050 3.250
Ac 3.991 3.151 4.244
Ho -1.347 1.050 6.932
Ho 5.548 3.151 0.562
Se 1.098 3.151 5.691
Se 3.103 1.050 1.802
O -0.903 3.151 2.731
O -2.250 3.151 6.707
O 6.451 1.050 0.787
O 5.104 1.050 4.762
! **E_form (uncorrected)**: -15.30 eV/f.u.

---

[15]
! AcHoSe2O8 PBE-GGA optimized geometry; values from VASP
&SYSTEM
  ibrav = 0, nat = 12, ntyp = 4
/
ATOMIC_SPECIES
Ac 227.00 Ac.upf
Ho 164.93 Ho.upf
Se 78.96 Se.upf
O 16.00 O.upf
CELL_PARAMETERS angstrom
5.874 0.000 0.000
-2.937 5.087 0.000
0.000 0.000 7.338
ATOMIC_POSITIONS angstrom
Ac 0.000 0.000 0.000
Ho 0.000 0.000 3.669
Se 0.000 3.391 5.571
Se 2.937 1.696 1.767
O -0.011 1.589 5.259
O -1.556 4.302 5.259
O 1.371 0.804 2.079
O 0.000 3.391 7.249
O 2.937 1.696 0.089
O 1.566 4.283 5.259
O 4.493 0.785 2.079
O 2.948 3.498 2.079
! **E_form (uncorrected)**: -20.93 eV/f.u.

---

[16]
! AcHo2SeO8 PBE-GGA optimized geometry; values from VASP
&SYSTEM
  ibrav = 0, nat = 12, ntyp = 4
/
ATOMIC_SPECIES
Ac 227.00 Ac.upf
Ho 164.93 Ho.upf
Se 78.96 Se.upf
O 16.00 O.upf
CELL_PARAMETERS angstrom
4.609 0.000 0.000
-0.199 4.921 0.000
-0.320 -0.441 7.177
ATOMIC_POSITIONS angstrom
Ac 0.000 0.000 0.000
Ho 1.821 1.972 5.213
Ho 2.269 2.508 1.964
Se -0.160 -0.221 3.589
O 0.208 3.549 2.187
O 0.506 3.822 4.904
O 1.217 0.940 3.320
O 2.159 1.296 0.002
O 1.931 3.184 7.175
O 2.872 3.540 3.857
O 3.584 0.658 2.274
O 3.882 0.931 4.990
! **E_form (uncorrected)**: -27.07 eV/f.u.

---

[17]
! Ac2HoSe2O2 PBE-GGA optimized geometry; values from VASP
&SYSTEM
  ibrav = 0, nat = 7, ntyp = 4
/
ATOMIC_SPECIES
Ac 227.00 Ac.upf
Ho 164.93 Ho.upf
Se 78.96 Se.upf
O 16.00 O.upf
CELL_PARAMETERS angstrom
-2.209 2.209 8.087
2.209 -2.209 8.087
2.209 2.209 -8.087
ATOMIC_POSITIONS angstrom
Ac 0.000 0.000 2.072
Ac 0.000 0.000 14.102
Ho 0.000 0.000 8.087
Se 0.000 0.000 5.237
Se 0.000 0.000 10.936
O 2.209 0.000 0.000
O 0.000 2.209 0.000
! **E_form (uncorrected)**: -17.71 eV/f.u.

---

[18]
! AcHo2TaO8 PBE-GGA optimized geometry; values from VASP
&SYSTEM
  ibrav = 0, nat = 12, ntyp = 4
/
ATOMIC_SPECIES
Ac 227.00 Ac.upf
Ho 164.93 Ho.upf
Ta 180.95 Ta.upf
O 16.00 O.upf
CELL_PARAMETERS angstrom
3.563 -3.588 0.000
3.563 3.588 0.000
0.000 0.000 7.218
ATOMIC_POSITIONS angstrom
Ac 0.000 0.000 0.000
Ho 3.563 0.000 1.920
Ho 3.563 0.000 5.298
Ta 0.000 0.000 3.609
O 3.563 2.234 2.135
O 3.563 2.234 5.082
O 2.023 0.000 3.609
O 2.348 0.000 0.000
O 4.778 0.000 0.000
O 5.103 0.000 3.609
O 3.563 -2.234 2.135
O 3.563 -2.234 5.082
! **E_form (uncorrected)**: -34.89 eV/f.u.

---

[19]
! Ac2HoTaO8 PBE-GGA optimized geometry; values from VASP
&SYSTEM
  ibrav = 0, nat = 12, ntyp = 4
/
ATOMIC_SPECIES
Ac 227.00 Ac.upf
Ho 164.93 Ho.upf
Ta 180.95 Ta.upf
O 16.00 O.upf
CELL_PARAMETERS angstrom
4.490 0.000 0.000
0.000 7.184 0.000
-0.352 0.000 5.598
ATOMIC_POSITIONS angstrom
Ac 0.000 1.774 0.000
Ac 0.000 5.410 0.000
Ho 2.069 3.592 2.799
Ta 2.069 0.000 2.799
O 0.148 0.000 2.133
O 0.239 3.592 1.448
O 1.795 1.499 4.103
O 1.795 5.685 4.103
O 2.343 1.499 1.495
O 2.343 5.685 1.495
O 3.899 3.592 4.150
O 3.990 0.000 3.465
! **E_form (uncorrected)**: -34.17 eV/f.u.

---

[20]
! Ac2HoTcO6 PBE-GGA optimized geometry; values from VASP
&SYSTEM
  ibrav = 0, nat = 20, ntyp = 4
/
ATOMIC_SPECIES
Ac 227.00 Ac.upf
Ho 164.93 Ho.upf
Tc 98.00 Tc.upf
O 16.00 O.upf
CELL_PARAMETERS angstrom
5.747 0.000 0.000
0.000 8.430 0.000
0.000 0.000 6.218
ATOMIC_POSITIONS angstrom
Ac 1.437 0.231 1.301
Ac 1.437 3.985 1.301
Ac 4.311 4.446 4.918
Ac 4.311 8.200 4.918
Ho 1.437 2.108 4.475
Ho 4.311 6.323 1.744
Tc 1.437 6.323 4.799
Tc 4.311 2.108 1.419
O 0.001 2.108 6.175
O 5.746 6.323 0.044
O 0.035 2.108 2.825
O 1.437 4.264 4.929
O 1.437 8.382 4.929
O 2.839 2.108 2.825
O 2.873 2.108 6.175
O 2.875 6.323 0.044
O 2.908 6.323 3.393
O 4.311 0.048 1.289
O 4.311 4.167 1.289
O 5.713 6.323 3.393
! **E_form (uncorrected)**: -27.12 eV/f.u.

---

[21]
! Ac2HoTcO8 PBE-GGA optimized geometry; values from VASP
&SYSTEM
  ibrav = 0, nat = 12, ntyp = 4
/
ATOMIC_SPECIES
Ac 227.00 Ac.upf
Ho 164.93 Ho.upf
Tc 98.00 Tc.upf
O 16.00 O.upf
CELL_PARAMETERS angstrom
5.736 0.000 0.000
2.052 5.924 0.000
1.553 1.300 6.188
ATOMIC_POSITIONS angstrom
Ac 1.124 1.135 1.268
Ac 8.217 6.088 4.920
Ho 4.670 3.612 3.094
Tc 3.894 2.962 0.000
O 3.747 5.552 2.976
O 4.789 6.056 6.119
O 3.843 3.667 5.287
O 3.068 2.727 1.694
O 6.273 4.496 4.494
O 5.498 3.556 0.901
O 4.551 1.167 0.068
O 5.594 1.671 3.211
! **E_form (uncorrected)**: -31.52 eV/f.u.

---

Computed spin magnetization (Bohr magnetons per cell) in order:
6.2 1.3 2.0 2.0 0.0 0.0 0.0 1.5 1.7 0.0 0.0 1.1 0.0 0.0 1.3 0.7 0.0 1.4 0.0 4.0 0.0
Computed energy (eV for the cell shown) in order:
-133.635 -90.653 -88.033 -68.269 -49.280 -69.002 -38.404 -79.635 -116.387 -145.789 -35.901 -64.535 -65.499 -74.765 -76.251 -83.480 -47.393 -99.670 -98.482 -160.066 -94.345